Record 1
A plane-wave DFT calculation with PBE was carried out for crystalline KPRh3 at its relaxed geometry.

Output
**SG**: Pm-3m (221)
**Calculated density**: 6.84 g/cm³
**Energy above the most stable polymorph in this dataset**: 0 meV per atom
**DOS at the Fermi energy**: 5.23 states/eV per cell
**ΔE_f**: 14 meV per atom

Lattice parameters (Å, degrees): 4.5140 4.5140 4.5140 90.00 90.00 90.00
Element x y z (fractional)
1 P 0.0000 0.0000 0.0000
2 Rh 0.0000 0.5000 0.0000
3 Rh 0.0000 0.0000 0.5000
4 Rh 0.5000 0.0000 0.0000
5 K 0.5000 0.5000 0.5000



Record 2
A plane-wave DFT calculation with PBE was carried out for crystalline CsTaSn2 at its relaxed geometry.

Output
**SG**: I-42d (122)
**Calculated density**: 4.71 g/cm³
**Energy above the most stable polymorph in this dataset**: 0 meV per atom
**DOS at the Fermi energy**: 8.46 states/eV per cell
**ΔE_f**: 493 meV per atom

Lattice parameters (Å, degrees): 6.8642 6.8642 9.5739 68.99 68.99 90.00
Element x y z (fractional)
1 Ta 0.0000 0.0000 0.0000
2 Ta 0.7500 0.2500 0.5000
3 Sn 0.8757 0.1250 0.2500
4 Sn 0.3750 0.1243 0.7500
5 Sn 0.8743 0.6250 0.2500
6 Sn 0.8750 0.1257 0.7500
7 Cs 0.2500 0.7500 0.5000
8 Cs 0.5000 0.5000 0.0000



Record 3
A plane-wave DFT calculation with PBE was carried out for crystalline MgReAg2N at its relaxed geometry.

Output
**SG**: P4/mmm (123)
**Uncorrected formation energy**: 5.324 eV/f.u.
**Calculated density**: 9.01 g/cm³
**DOS at the Fermi energy**: 3.38 states/eV per cell

Lattice parameters (Å, degrees): 4.5070 3.9962 4.5070 90.00 90.00 90.00
Element x y z (fractional)
1 Re 0.5000 0.5000 0.5000
2 Mg 0.0000 0.5000 0.0000
3 N 0.0000 0.0000 0.0000
4 Ag 0.5000 0.0000 0.0000
5 Ag 0.0000 0.0000 0.5000



Record 4
A plane-wave DFT calculation with PBE was carried out for crystalline RbAlFeCl6 at its relaxed geometry.

Output
**SG**: C2 (5)
**Uncorrected formation energy**: -12.172 eV/f.u.
**Calculated density**: 2.46 g/cm³
**DOS at the Fermi energy**: 5.89 states/eV per cell

Lattice parameters (Å, degrees): 6.3377 6.3378 7.4012 89.98 90.03 59.98
Element x y z (fractional)
1 Fe 0.6668 0.6668 0.5000
2 Cl 0.0152 0.3656 0.3166
3 Cl 0.6186 0.0156 0.3164
4 Cl 0.0156 0.6186 0.6835
5 Cl 0.3656 0.0152 0.6834
6 Cl 0.3673 0.6173 0.3156
7 Cl 0.6173 0.3673 0.6844
8 Rb 0.9999 0.0000 0.0000
9 Al 0.3335 0.3336 0.5000



Record 5
A plane-wave DFT calculation with PBE was carried out for crystalline NaCdSn3 at its relaxed geometry.

Output
**SG**: P1 (1)
**Calculated density**: 5.69 g/cm³
**Energy above the most stable polymorph in this dataset**: 5 meV per atom
**DOS at the Fermi energy**: 3.61 states/eV per cell
**ΔE_f**: -32 meV per atom

Lattice parameters (Å, degrees): 7.1545 6.4229 6.3898 78.22 90.10 94.06
Element x y z (fractional)
1 Cd 0.5812 0.4995 0.1784
2 Cd 0.0464 0.0309 0.6448
3 Sn 0.2357 0.6227 0.9229
4 Sn 0.6643 0.8744 0.7792
5 Sn 0.9490 0.3418 0.2350
6 Sn 0.2696 0.4966 0.4892
7 Sn 0.4042 0.9848 0.4189
8 Sn 0.3747 0.1297 0.9307
9 Na 0.9365 0.8612 0.2036
10 Na 0.7745 0.4147 0.7050



Record 6
A plane-wave DFT calculation with PBE was carried out for crystalline Ca3PdAu3 at its relaxed geometry.

Output
**SG**: P6_3/m (176)
**Calculated density**: 8.55 g/cm³
**Energy above the most stable polymorph in this dataset**: 168 meV per atom
**DOS at the Fermi energy**: 7.85 states/eV per cell
**ΔE_f**: -575 meV per atom

Lattice parameters (Å, degrees): 5.1513 8.4349 8.4349 120.00 90.00 90.00
Element x y z (fractional)
1 Ca 0.7500 0.4367 0.0786
2 Ca 0.7500 0.9214 0.3582
3 Ca 0.2500 0.3582 0.4367
4 Ca 0.2500 0.5633 0.9214
5 Ca 0.2500 0.0786 0.6418
6 Ca 0.7500 0.6418 0.5633
7 Au 0.2500 0.9578 0.1926
8 Au 0.7500 0.0422 0.8074
9 Au 0.7500 0.7652 0.9578
10 Au 0.2500 0.8074 0.7652
11 Au 0.2500 0.2348 0.0422
12 Au 0.7500 0.1926 0.2348
13 Pd 0.2500 0.6667 0.3333
14 Pd 0.7500 0.3333 0.6667